Zn2SbSe | PBE-GGA | relaxed

Lattice parameters (Å, degrees): 4.3832 4.3832 6.2931 73.74 73.74 52.66
With the nearest neighbours (Å) after each atom.
Positions (direct):
Zn: 0.9745 0.9745 0.9990  1 Zn 2.49, 3 Se 2.49-2.75
Zn: 0.7784 0.7784 0.7552  1 Zn 2.49, 3 Sb 2.57-2.74
Sb: 0.5265 0.5265 0.5745  3 Zn 2.57-2.74
Se: 0.2206 0.2206 0.1712  3 Zn 2.49-2.75

Output
The symmetry is Cm (8). The calculation puts the formation energy without anion corrections at -0.045 eV per atom.

ZnSb2Se2 | PBE-GGA | relaxed

Lattice parameters (Å, degrees): 5.7438 5.7438 5.9655 61.22 61.22 90.00
With the nearest neighbours (Å) after each atom.
Positions (direct):
Sb: 0.6984 0.6984 0.6033  1 Zn 2.64, 4 Se 2.91
Sb: 0.3016 0.3016 0.3967  1 Zn 2.64, 4 Se 2.91
Se: 0.7500 0.2500 0.5000  4 Sb 2.91
Se: 0.2500 0.7500 0.5000  4 Sb 2.91
Zn: 0.0000 0.0000 0.0000  2 Sb 2.64

Output
The excess energy over the best structure of this formula in the dataset is 8 meV per atom. The symmetry is I4/mmm (139). The calculation puts the formation energy without anion corrections at 0.019 eV per atom.

Zn2SbSe | PBE-GGA | relaxed

Lattice parameters (Å, degrees): 3.8780 5.7593 3.8926 90.00 90.00 90.00
With the nearest neighbours (Å) after each atom.
Positions (direct):
Zn: 0.5000 0.5000 0.0000  4 Se 2.75
Zn: 0.0000 0.0000 0.0000  4 Sb 2.75
Se: 0.0000 0.5000 0.5000  4 Zn 2.75
Sb: 0.5000 0.0000 0.5000  4 Zn 2.75

Output
The symmetry is Pmmm (47). The calculation puts the formation energy without anion corrections at 0.128 eV per atom.

ZnSbSe3 | PBE-GGA | relaxed

Lattice parameters (Å, degrees): 5.3145 5.3145 5.3145 90.00 90.00 90.00
With the nearest neighbours (Å) after each atom.
Positions (direct):
Zn: 0.5000 0.5000 0.5000  12 Se 3.76
Se: 0.5000 0.0000 0.0000  2 Sb 2.66
Se: 0.0000 0.5000 0.0000  2 Sb 2.66
Se: 0.0000 0.0000 0.5000  2 Sb 2.66
Sb: 0.0000 0.0000 0.0000  6 Se 2.66

Output
The excess energy over the best structure of this formula in the dataset is 191 meV per atom. The symmetry is Pm-3m (221). The calculation puts the formation energy without anion corrections at 0.473 eV per atom.

ZnSbSe2 | PBE-GGA | relaxed

Lattice parameters (Å, degrees): 3.9370 4.5646 8.0661 48.59 90.00 90.00
With the nearest neighbours (Å) after each atom.
Positions (direct):
Zn: 0.0000 0.5374 0.2739  3 Se 2.42-2.43
Sb: 0.5000 0.6600 0.8953  5 Se 2.86-3.10
Se: 0.5000 0.1286 0.4270  2 Zn 2.42
Se: 0.0000 0.1740 0.9038  1 Zn 2.43

Output
The excess energy over the best structure of this formula in the dataset is 0 meV per atom. The symmetry is Pm (6). The calculation puts the formation energy without anion corrections at -0.236 eV per atom.

ZrSbSe | PBE-GGA | relaxed

Lattice parameters (Å, degrees): 3.6118 3.6118 7.0744 90.00 90.00 120.00
With the nearest neighbours (Å) after each atom.
Positions (direct):
Se: 0.6667 0.3333 0.4066  3 Zr 2.65
Zr: 0.3333 0.6667 0.6377  3 Se 2.65
Sb: 0.0000 0.0000 0.9557  3 Zr 3.07

Output
The symmetry is P3m1 (156). The calculation puts the formation energy without anion corrections at -0.773 eV per atom.

ZrSbSe3 | PBE-GGA | relaxed

Lattice parameters (Å, degrees): 5.2248 5.2248 5.2248 90.00 90.00 90.00
With the nearest neighbours (Å) after each atom.
Positions (direct):
Se: 0.0000 0.5000 0.0000  2 Sb 2.61
Se: 0.5000 0.0000 0.0000  2 Sb 2.61
Se: 0.0000 0.0000 0.5000  2 Sb 2.61
Sb: 0.0000 0.0000 0.0000  6 Se 2.61
Zr: 0.5000 0.5000 0.5000  12 Se 3.69

Output
The excess energy over the best structure of this formula in the dataset is 657 meV per atom. The symmetry is Pm-3m (221). The calculation puts the formation energy without anion corrections at 0.385 eV per atom.

ZrSbSe2 | PBE-GGA | relaxed

Lattice parameters (Å, degrees): 5.0143 5.0143 5.0143 60.00 60.00 60.00
With the nearest neighbours (Å) after each atom.
Positions (direct):
Sb: 0.5000 0.5000 0.5000  4 Se 3.07, 4 Zr 3.07
Se: 0.0000 0.0000 0.0000  4 Zr 3.07, 4 Se 3.07
Se: 0.7500 0.7500 0.7500  4 Sb 3.07, 4 Se 3.07
Zr: 0.2500 0.2500 0.2500  4 Se 3.07, 4 Sb 3.07

Output
The symmetry is F-43m (216). The calculation puts the formation energy without anion corrections at -0.033 eV per atom.